CaBeTl2 after structural relaxation. Source: Alexandria, functional PBEsol.

## Properties
Energy of formation from the pure elements ... 0.00 eV/atom
Offset from the most stable computed form ... 0.000 eV/f.u.

Cell: 4.3452 4.3452 17.1107 Å, 90.00 90.00 120.00°
Space group R-3m (No. 166, hexagonal axes)
Unique sites:
Ca: 0.0000 0.0000 0.0000 [3 per cell]
Be: 0.0000 0.0000 0.5000 [3 per cell]
Tl: 0.0000 0.0000 0.2222 [6 per cell]